! Li2CeGa2, optimized geometry, DFT PBE; values from VASP
&SYSTEM
  ibrav = 0, nat = 10, ntyp = 3
/
ATOMIC_SPECIES
Li 6.94 Li.upf
Ce 140.12 Ce.upf
Ga 69.72 Ga.upf
CELL_PARAMETERS angstrom
4.670 0.000 0.000
0.000 4.127 0.000
-0.283 0.000 10.439
ATOMIC_POSITIONS crystal
Li 0.163 0.250 0.104
Li 0.250 0.750 0.505
Li 0.750 0.250 0.495
Li 0.837 0.750 0.896
Ce 0.273 0.250 0.752
Ce 0.727 0.750 0.248
Ga 0.243 0.250 0.346
Ga 0.340 0.750 0.977
Ga 0.660 0.250 0.023
Ga 0.757 0.750 0.654
! - Offset from the most stable computed form: 7.02 kJ per mole of atoms
! - E_form: -0.257 eV/atom
! - Total DFT energy (no corrections): -3.4204 eV per atom